Density functional theory data (PBE) for an optimized crystal structure of GdTeH.

Geometry as POSCAR:
```
GdTeH
1.0
-1.730 1.730 5.305
1.730 -1.730 5.305
1.730 1.730 -5.305
Gd Te H
1 1 1
Direct
0.000 0.000 0.000 Gd
0.299 0.299 0.000 Te
0.566 0.566 0.000 H
```

Summary:
Total DFT energy (no corrections) (eV/atom): -7.44

Density functional theory data (PBE) for an optimized crystal structure of SrY2Ir.

Geometry as POSCAR:
```
SrY2Ir
1.0
3.592 -2.067 0.000
3.592 2.067 0.000
-2.339 0.000 9.614
Sr Y Ir
1 2 1
Direct
0.000 0.000 0.000 Sr
0.214 0.214 0.646 Y
0.786 0.786 0.354 Y
0.500 0.500 0.500 Ir
```

Summary:
Total DFT energy (no corrections) (eV/atom): -6.25
Energy relative to the lowest polymorph listed for this composition (meV per atom): 15
Energy relative to the elements (eV/atom): -0.3856

Density functional theory data (PBE) for an optimized crystal structure of Sc2SiS6.

Geometry as POSCAR:
```
Sc2SiS6
1.0
5.804 0.000 0.000
0.000 5.804 0.000
0.000 0.000 11.139
Sc Si S
4 2 12
Direct
0.000 0.000 0.165 Sc
0.000 0.000 0.835 Sc
0.500 0.500 0.335 Sc
0.500 0.500 0.665 Sc
0.000 0.000 0.500 Si
0.500 0.500 0.000 Si
0.187 0.187 0.349 S
0.187 0.187 0.651 S
0.218 0.218 0.000 S
0.282 0.718 0.500 S
0.313 0.687 0.151 S
0.313 0.687 0.849 S
0.687 0.313 0.151 S
0.687 0.313 0.849 S
0.718 0.282 0.500 S
0.782 0.782 0.000 S
0.813 0.813 0.349 S
0.813 0.813 0.651 S
```

Summary:
Formation energy from raw total energies (eV/atom): -0.927
Total DFT energy (no corrections) (eV/atom): -5.69

What density values result from the calculations? In sequence: 7.47; 5.32; 2.75 Mg/m³.